Record 1
DFT (PBE) results for a relaxed structure of Sc4P2C.

Lattice parameters (Å, degrees): 5.6468 5.6468 7.1153 116.28 116.28 36.65
Sites, in units of the cell vectors:
Sc (0.0762, 0.0762, 0.3604)
Sc (0.3485, 0.3485, 0.9424)
Sc (0.6515, 0.6515, 0.0576)
Sc (0.9238, 0.9238, 0.6396)
P (0.3408, 0.3408, 0.3182)
P (0.6592, 0.6592, 0.6818)
C (0.0000, 0.0000, 0.0000)

excess energy over the best structure of this formula in the dataset = 0.126 eV/atom
formation energy = -6.6 eV/f.u.

---

Record 2
DFT (PBE) results for a relaxed structure of Sc6P2CSe3.

Lattice parameters (Å, degrees): 8.4556 8.4556 7.6063 104.17 104.17 25.24
Sites, in units of the cell vectors:
Sc (0.0020, 0.0020, 0.2082)
Sc (0.3313, 0.3313, 0.4297)
Sc (0.3557, 0.3557, 0.9184)
Sc (0.6443, 0.6443, 0.0816)
Sc (0.6687, 0.6687, 0.5703)
Sc (0.9980, 0.9980, 0.7918)
P (0.1657, 0.1657, 0.3302)
P (0.8343, 0.8343, 0.6698)
C (0.5000, 0.5000, 0.0000)
Se (0.1698, 0.1698, 0.8360)
Se (0.5000, 0.5000, 0.5000)
Se (0.8302, 0.8302, 0.1640)

formation energy from raw total energies = -1.4721 eV/atom

---

Record 3
DFT (PBE) results for a relaxed structure of Sc8P3CSe3.

Lattice parameters (Å, degrees): 7.6118 7.6118 7.6118 58.77 58.77 58.77
Sites, in units of the cell vectors:
Sc (0.2410, 0.2410, 0.2410)
Sc (0.2693, 0.7188, 0.7188)
Sc (0.2812, 0.2812, 0.7307)
Sc (0.2812, 0.7307, 0.2812)
Sc (0.7188, 0.2693, 0.7188)
Sc (0.7188, 0.7188, 0.2693)
Sc (0.7307, 0.2812, 0.2812)
Sc (0.7590, 0.7590, 0.7590)
P (0.0000, 0.0000, 0.5000)
P (0.0000, 0.5000, 0.0000)
P (0.5000, 0.0000, 0.0000)
C (0.5000, 0.5000, 0.5000)
Se (0.0000, 0.5000, 0.5000)
Se (0.5000, 0.0000, 0.5000)
Se (0.5000, 0.5000, 0.0000)

formation energy from raw total energies = -1.3678 eV/atom

---

> What is the formula in the first record?

Sc4P2C